[1]
TbTlCd2: optimized geometry, PBE.

calculated volume = 25.3 A^3/atom
DFT formation energy = -0.141 eV/atom
N(E_F) = 1.57 states/eV/f.u.
total moment = 0.0 Bohr magnetons per cell

a = 5.2288 Å, b = 5.2288 Å, c = 5.2288 Å
α = 60.00°, β = 60.00°, γ = 60.00°
Atoms (fractional coordinates):
Tl  0.5000  0.5000  0.5000
Tb  0.0000  0.0000  0.0000
Cd  0.2500  0.2500  0.2500
Cd  0.7500  0.7500  0.7500


[2]
SnMoRh3: optimized geometry, PBE.

calculated volume = 21.2 A^3/atom
DFT formation energy = 1.612 eV/atom
N(E_F) = 13.38 states/eV/f.u.
total moment = 0.1 Bohr magnetons per cell

a = 4.7361 Å, b = 4.7361 Å, c = 4.7361 Å
α = 90.00°, β = 90.00°, γ = 90.00°
Each line ends with the local moment (μB).
Atoms (fractional coordinates):
Mo  0.5000  0.5000  0.5000  -0.26
Rh  0.0000  0.5000  0.0000  0.05
Rh  0.0000  0.0000  0.5000  0.12
Rh  0.5000  0.0000  0.0000  0.01
Sn  0.0000  0.0000  0.0000  -0.01


[3]
Pu2GaCu4Ge3: optimized geometry, PBE.

calculated volume = 17.4 A^3/atom
DFT formation energy = -0.301 eV/atom
N(E_F) = 25.70 states/eV/f.u.
total moment = 10.4 Bohr magnetons per cell

a = 4.1317 Å, b = 4.1317 Å, c = 10.1656 Å
α = 90.00°, β = 90.00°, γ = 90.00°
Each line ends with the local moment (μB).
Atoms (fractional coordinates):
Pu  0.5000  0.0000  0.2445  5.15
Pu  0.0000  0.5000  0.7555  5.15
Ga  0.5000  0.5000  0.5000  -0.02
Cu  0.5000  0.5000  0.0000  -0.02
Cu  0.0000  0.0000  0.0000  -0.03
Cu  0.5000  0.0000  0.6331  0.01
Cu  0.0000  0.5000  0.3669  0.01
Ge  0.0000  0.0000  0.5000  -0.04
Ge  0.5000  0.0000  0.8657  -0.06
Ge  0.0000  0.5000  0.1343  -0.06


[4]
InSiPb3: optimized geometry, PBE.

calculated volume = 37.1 A^3/atom
N(E_F) = 3.76 states/eV/f.u.
total moment = 0.0 Bohr magnetons per cell
raw formation energy = 21.267 kcal/mol of atoms

a = 5.7011 Å, b = 5.7011 Å, c = 5.7011 Å
α = 90.00°, β = 90.00°, γ = 90.00°
Atoms (fractional coordinates):
Pb  0.0000  0.5000  0.0000
Pb  0.0000  0.0000  0.5000
Pb  0.5000  0.0000  0.0000
Si  0.5000  0.5000  0.5000
In  0.0000  0.0000  0.0000


[5]
Pr2YHo2: optimized geometry, PBE.

calculated volume = 35.5 A^3/atom
DFT formation energy = 0.292 eV/atom
N(E_F) = 7.58 states/eV/f.u.
total moment = 0.0 Bohr magnetons per cell

a = 6.2805 Å, b = 6.8959 Å, c = 8.8968 Å
α = 112.80°, β = 90.00°, γ = 90.00°
Atoms (fractional coordinates):
Pr  0.7500  0.3994  0.7988
Pr  0.7500  0.8295  0.6590
Pr  0.2500  0.6006  0.2012
Pr  0.2500  0.1705  0.3410
Y  0.0000  0.0000  0.0000
Y  0.5000  0.0000  0.0000
Ho  0.7500  0.4100  0.3418
Ho  0.2500  0.0683  0.6582
Ho  0.2500  0.5900  0.6582
Ho  0.7500  0.9317  0.3418


[6]
Na2ErBr5: optimized geometry, PBE.

calculated volume = 36.7 A^3/atom
N(E_F) = 0.00 states/eV/f.u.
total moment = 0.0 Bohr magnetons per cell
raw formation energy = -38.852 kcal/mol of atoms

a = 5.6187 Å, b = 7.8407 Å, c = 14.2714 Å
α = 90.00°, β = 90.00°, γ = 111.00°
Atoms (fractional coordinates):
Na  0.8514  0.7029  0.4438
Na  0.8514  0.7029  0.0562
Na  0.1486  0.2971  0.5562
Na  0.1486  0.2971  0.9438
Er  0.8184  0.6369  0.7500
Er  0.1816  0.3631  0.2500
Br  0.9541  0.9082  0.8794
Br  0.9541  0.9082  0.6206
Br  0.3058  0.6117  0.4018
Br  0.3058  0.6117  0.0982
Br  0.7131  0.4262  0.2500
Br  0.2869  0.5738  0.7500
Br  0.6942  0.3883  0.5982
Br  0.6942  0.3883  0.9018
Br  0.0459  0.0918  0.1206
Br  0.0459  0.0918  0.3794


[7]
CaY2CrBi: optimized geometry, PBE.

calculated volume = 29.9 A^3/atom
DFT formation energy = 0.186 eV/atom
N(E_F) = 4.88 states/eV/f.u.
total moment = 1.2 Bohr magnetons per cell

a = 5.2726 Å, b = 5.3730 Å, c = 5.2726 Å
α = 90.00°, β = 90.00°, γ = 90.00°
Each line ends with the local moment (μB).
Atoms (fractional coordinates):
Y  0.0000  0.0000  0.5000  -0.18
Y  0.5000  0.0000  0.0000  -0.05
Cr  0.0000  0.0000  0.0000  1.78
Ca  0.5000  0.5000  0.5000  -0.04
Bi  0.0000  0.5000  0.0000  -0.02


[8]
NaPPt2Pb: optimized geometry, PBE.

calculated volume = 22.1 A^3/atom
DFT formation energy = 1.047 eV/atom
N(E_F) = 3.15 states/eV/f.u.
total moment = 0.0 Bohr magnetons per cell

a = 4.8541 Å, b = 4.6828 Å, c = 4.8541 Å
α = 90.00°, β = 90.00°, γ = 90.00°
Atoms (fractional coordinates):
Pb  0.5000  0.5000  0.5000
P  0.0000  0.5000  0.0000
Pt  0.0000  0.0000  0.5000
Pt  0.5000  0.0000  0.0000
Na  0.0000  0.0000  0.0000


[9]
TaTcPdW2: optimized geometry, PBE.

calculated volume = 21.0 A^3/atom
DFT formation energy = 2.100 eV/atom
N(E_F) = 4.75 states/eV/f.u.
total moment = 0.0 Bohr magnetons per cell

a = 4.7507 Å, b = 4.6509 Å, c = 4.7507 Å
α = 90.00°, β = 90.00°, γ = 90.00°
Atoms (fractional coordinates):
Tc  0.0000  0.5000  0.0000
Pd  0.5000  0.5000  0.5000
W  0.0000  0.0000  0.5000
W  0.5000  0.0000  0.0000
Ta  0.0000  0.0000  0.0000


[10]
CsRbIF6: optimized geometry, PBE.

calculated volume = 20.4 A^3/atom
total moment = 1.0 Bohr magnetons per cell
raw formation energy = -47.390 kcal/mol of atoms

a = 6.7929 Å, b = 6.8028 Å, c = 4.6110 Å
α = 89.81°, β = 89.94°, γ = 59.56°
Each line ends with the local moment (μB).
Atoms (fractional coordinates):
Cs  0.0004  0.0008  0.8648  0.00
Rb  0.6672  0.6664  0.2609  0.00
I  0.3334  0.3334  0.5596  0.42
F  0.2230  0.1231  0.3606  0.07
F  0.5455  0.0032  0.7448  0.05
F  0.4508  0.5450  0.7417  0.05
F  0.0041  0.4506  0.7455  0.05
F  0.1190  0.6561  0.3609  0.07
F  0.6564  0.2215  0.3611  0.07


[11]
Zr2AgHPb: optimized geometry, PBE.

calculated volume = 17.6 A^3/atom
N(E_F) = 3.15 states/eV/f.u.
total moment = 0.0 Bohr magnetons per cell

a = 4.4041 Å, b = 4.4041 Å, c = 4.5457 Å
α = 90.00°, β = 90.00°, γ = 90.00°
Atoms (fractional coordinates):
Pb  0.5000  0.5000  0.5000
H  0.0000  0.0000  0.0000
Zr  0.0000  0.5000  0.0000
Zr  0.5000  0.0000  0.0000
Ag  0.0000  0.0000  0.5000


[12]
K3Zr3VS8: optimized geometry, PBE.

calculated volume = 23.9 A^3/atom
N(E_F) = 6.96 states/eV/f.u.
total moment = 2.6 Bohr magnetons per cell
raw formation energy = -33.057 kcal/mol of atoms

a = 7.3819 Å, b = 7.3902 Å, c = 8.6981 Å
α = 115.20°, β = 90.00°, γ = 119.97°
Each line ends with the local moment (μB).
Atoms (fractional coordinates):
K  0.0000  0.0000  0.0000  0.00
K  0.0000  0.5000  0.0000  0.00
K  0.5000  0.5000  0.0000  0.00
Zr  0.5000  0.0000  0.5000  0.01
Zr  0.5000  0.5000  0.5000  0.03
Zr  0.0000  0.5000  0.5000  0.01
V  0.0000  0.0000  0.5000  2.16
S  0.2667  0.5332  0.2997  0.00
S  0.7333  0.4668  0.7003  0.00
S  0.7729  0.5457  0.3089  -0.01
S  0.2271  0.4543  0.6911  -0.01
S  0.7730  0.0360  0.3091  -0.01
S  0.2270  0.9640  0.6909  -0.01
S  0.2630  0.0360  0.3091  -0.01
S  0.7370  0.9640  0.6909  -0.01


[13]
IrOsPb: optimized geometry, PBE.

calculated volume = 20.3 A^3/atom
DFT formation energy = 0.857 eV/atom
N(E_F) = 5.02 states/eV/f.u.
total moment = 0.0 Bohr magnetons per cell

a = 4.4147 Å, b = 4.4147 Å, c = 4.4147 Å
α = 60.00°, β = 60.00°, γ = 60.00°
Atoms (fractional coordinates):
Ir  0.5000  0.5000  0.5000
Os  0.7500  0.7500  0.7500
Pb  0.0000  0.0000  0.0000


[14]
MgGa2H8: optimized geometry, PBE.

calculated volume = 12.7 A^3/atom
N(E_F) = 0.00 states/eV/f.u.
total moment = 0.0 Bohr magnetons per cell

a = 6.7223 Å, b = 7.0724 Å, c = 7.5087 Å
α = 72.92°, β = 63.41°, γ = 61.62°
Atoms (fractional coordinates):
Mg  0.0082  0.7500  0.2500
Mg  0.9918  0.2500  0.7500
Ga  0.8367  0.8539  0.9564
Ga  0.3530  0.3539  0.4564
Ga  0.6470  0.6461  0.5436
Ga  0.1633  0.1461  0.0436
H  0.3805  0.7472  0.5590
H  0.1092  0.9681  0.2301
H  0.7202  0.9680  0.1602
H  0.2407  0.1858  0.4725
H  0.2798  0.0320  0.8398
H  0.8989  0.3142  0.0275
H  0.7593  0.8142  0.5275
H  0.1515  0.4680  0.6602
H  0.1011  0.6858  0.9725
H  0.6867  0.7528  0.9410
H  0.6926  0.4681  0.7301
H  0.3074  0.5319  0.2699
H  0.3133  0.2472  0.0590
H  0.8485  0.5320  0.3398
H  0.6195  0.2528  0.4410
H  0.8908  0.0319  0.7699


[15]
Li2Pu2Pd3: optimized geometry, PBE.

calculated volume = 20.5 A^3/atom
DFT formation energy = -0.274 eV/atom
N(E_F) = 24.63 states/eV/f.u.
total moment = 11.3 Bohr magnetons per cell

a = 4.3841 Å, b = 6.7971 Å, c = 5.2530 Å
α = 75.86°, β = 89.96°, γ = 108.77°
Each line ends with the local moment (μB).
Atoms (fractional coordinates):
Li  0.6104  0.2207  0.9191  0.01
Li  0.3896  0.7793  0.0809  0.01
Pu  0.8731  0.7469  0.5848  5.37
Pu  0.1269  0.2531  0.4152  5.37
Pd  0.0000  0.0000  0.0000  -0.02
Pd  0.7687  0.5372  0.1639  -0.07
Pd  0.2313  0.4628  0.8361  -0.07


[16]
Y2TcBr: optimized geometry, PBE.

calculated volume = 32.3 A^3/atom
N(E_F) = 1.16 states/eV/f.u.
total moment = 0.0 Bohr magnetons per cell
raw formation energy = 2.737 kcal/mol of atoms

a = 6.3878 Å, b = 6.3878 Å, c = 7.7736 Å
α = 65.74°, β = 65.74°, γ = 90.00°
Atoms (fractional coordinates):
Y  0.6849  0.1250  0.2500
Y  0.0651  0.6250  0.2500
Y  0.3750  0.3151  0.7500
Y  0.8750  0.9349  0.7500
Tc  0.0000  0.0000  0.0000
Tc  0.7500  0.2500  0.5000
Br  0.5000  0.5000  0.0000
Br  0.2500  0.7500  0.5000


[17]
MgMnCoRe2: optimized geometry, PBE.

calculated volume = 16.0 A^3/atom
DFT formation energy = 2.421 eV/atom
N(E_F) = 8.53 states/eV/f.u.
total moment = 0.5 Bohr magnetons per cell

a = 4.4676 Å, b = 4.0001 Å, c = 4.4676 Å
α = 90.00°, β = 90.00°, γ = 90.00°
Each line ends with the local moment (μB).
Atoms (fractional coordinates):
Re  0.0000  0.0000  0.5000  -0.11
Re  0.5000  0.0000  0.0000  -0.07
Mg  0.0000  0.0000  0.0000  -0.01
Mn  0.5000  0.5000  0.5000  0.19
Co  0.0000  0.5000  0.0000  0.63


[18]
LiMnMo2: optimized geometry, PBE.

calculated volume = 14.4 A^3/atom
DFT formation energy = 0.357 eV/atom
N(E_F) = 2.96 states/eV/f.u.
total moment = 3.0 Bohr magnetons per cell

a = 4.3327 Å, b = 4.3327 Å, c = 4.3327 Å
α = 60.00°, β = 60.00°, γ = 60.00°
Each line ends with the local moment (μB).
Atoms (fractional coordinates):
Li  0.5000  0.5000  0.5000  -0.01
Mn  0.7500  0.7500  0.7500  2.82
Mo  0.0000  0.0000  0.0000  -0.54
Mo  0.2500  0.2500  0.2500  0.56


[19]
Pb5Se3: optimized geometry, PBE.

calculated volume = 28.1 A^3/atom
N(E_F) = 1.91 states/eV/f.u.
total moment = 0.0 Bohr magnetons per cell
raw formation energy = -4.472 kcal/mol of atoms

a = 6.6383 Å, b = 6.6383 Å, c = 5.1808 Å
α = 90.00°, β = 90.00°, γ = 99.77°
Atoms (fractional coordinates):
Pb  0.0000  0.0000  0.0000
Pb  0.0000  0.5000  0.0000
Pb  0.5000  0.0000  0.0000
Pb  0.2935  0.2935  0.5000
Pb  0.7065  0.7065  0.5000
Se  0.5000  0.5000  0.0000
Se  0.7945  0.2055  0.5000
Se  0.2055  0.7945  0.5000


[20]
Sr2ZrBr: optimized geometry, PBE.

calculated volume = 36.9 A^3/atom
N(E_F) = 5.80 states/eV/f.u.
total moment = 3.8 Bohr magnetons per cell
raw formation energy = 4.873 kcal/mol of atoms

a = 6.2502 Å, b = 6.2502 Å, c = 6.2502 Å
α = 127.88°, β = 127.88°, γ = 76.81°
Each line ends with the local moment (μB).
Atoms (fractional coordinates):
Sr  0.0000  0.0000  0.0000  0.13
Sr  0.5000  0.5000  0.0000  0.13
Br  0.7500  0.2500  0.5000  0.02
Zr  0.2500  0.7500  0.5000  1.64


[21]
TlIrSe2: optimized geometry, PBE.

calculated volume = 28.3 A^3/atom
N(E_F) = 5.06 states/eV/f.u.
total moment = 0.0 Bohr magnetons per cell
raw formation energy = 4.287 kcal/mol of atoms

a = 4.1506 Å, b = 4.1506 Å, c = 8.1436 Å
α = 90.00°, β = 90.00°, γ = 126.08°
Atoms (fractional coordinates):
Ir  0.5000  0.5000  0.7500
Se  0.0000  0.0000  0.9377
Se  0.0000  0.0000  0.5623
Tl  0.5000  0.5000  0.2500


[22]
SrZnCd2Cu: optimized geometry, PBE.

calculated volume = 24.8 A^3/atom
DFT formation energy = -0.080 eV/atom
N(E_F) = 2.32 states/eV/f.u.
total moment = 0.0 Bohr magnetons per cell

a = 5.0619 Å, b = 5.0619 Å, c = 4.8301 Å
α = 90.00°, β = 90.00°, γ = 90.00°
Atoms (fractional coordinates):
Sr  0.5000  0.5000  0.5000
Zn  0.0000  0.0000  0.5000
Cu  0.0000  0.0000  0.0000
Cd  0.0000  0.5000  0.0000
Cd  0.5000  0.0000  0.0000


[23]
CsNbTe: optimized geometry, PBE.

calculated volume = 46.1 A^3/atom
N(E_F) = 1.07 states/eV/f.u.
total moment = 0.0 Bohr magnetons per cell
raw formation energy = 2.671 kcal/mol of atoms

a = 5.2619 Å, b = 5.2619 Å, c = 15.1725 Å
α = 122.88°, β = 122.88°, γ = 87.56°
Atoms (fractional coordinates):
Nb  0.6439  0.6439  0.5000
Nb  0.3561  0.3561  0.5000
Cs  0.4839  0.4839  0.8222
Cs  0.5161  0.5161  0.1778
Te  0.8964  0.8964  0.7639
Te  0.1036  0.1036  0.2361


[24]
TcMo: optimized geometry, PBE.

calculated volume = 15.4 A^3/atom
DFT formation energy = 0.165 eV/atom
N(E_F) = 1.72 states/eV/f.u.
total moment = 0.0 Bohr magnetons per cell

a = 2.7300 Å, b = 2.7300 Å, c = 8.2696 Å
α = 90.00°, β = 90.00°, γ = 90.00°
Atoms (fractional coordinates):
Mo  0.2500  0.2500  0.1363
Mo  0.7500  0.7500  0.8637
Tc  0.2500  0.2500  0.6102
Tc  0.7500  0.7500  0.3898


[25]
SrCa2Cl: optimized geometry, PBE.

calculated volume = 37.7 A^3/atom
N(E_F) = 3.71 states/eV/f.u.
total moment = 0.0 Bohr magnetons per cell
raw formation energy = -17.427 kcal/mol of atoms

a = 3.9384 Å, b = 3.9384 Å, c = 10.9183 Å
α = 90.00°, β = 90.00°, γ = 117.18°
Atoms (fractional coordinates):
Sr  0.5000  0.5000  0.7075
Ca  0.0000  0.0000  0.0096
Ca  0.5000  0.5000  0.2926
Cl  0.0000  0.0000  0.4903


[26]
Tb2Er6Sc: optimized geometry, PBE.

calculated volume = 30.1 A^3/atom
DFT formation energy = 0.033 eV/atom
N(E_F) = 12.17 states/eV/f.u.
total moment = 0.0 Bohr magnetons per cell

a = 4.9342 Å, b = 6.0466 Å, c = 27.2623 Å
α = 148.23°, β = 90.00°, γ = 114.08°
Atoms (fractional coordinates):
Tb  0.6567  0.3134  0.3291
Tb  0.3433  0.6866  0.6709
Er  0.2225  0.4451  0.4444
Er  0.7775  0.5549  0.5556
Er  0.8983  0.7965  0.7811
Er  0.5484  0.0968  0.1083
Er  0.1017  0.2035  0.2189
Er  0.4516  0.9032  0.8917
Sc  0.0000  0.0000  0.0000


Values of E_tot, in order: -2.3473; -5.7653; -6.4933; -2.9351; -4.7437; -3.6304; -5.5004; -3.4572; -8.5632; -3.6771; -5.6044; -6.1718; -7.0757; -3.0998; -7.1408; -6.1231; -6.1322; -7.8293; -3.8183; -3.1849; -4.3632; -1.8565; -4.5725; -10.4337; -2.6386; -4.7416, all in eV/atom.